(1)
# CsLaUSe4

An optimized crystal structure of CsLaUSe4 (PBE, Alexandria via LeMat-Bulk).

a b c (Å): 9.117 9.117 9.117
angles (deg): 122.02 117.48 90.48
Element x y z (fractional)
Cs 0.388 0.138 0.250
Cs 0.612 0.862 0.750
La 0.000 0.500 0.500
La 0.500 0.500 0.000
U 0.000 0.000 0.500
U 0.000 0.500 0.000
Se 0.178 0.735 0.443
Se 0.208 0.265 0.943
Se 0.220 0.256 0.536
Se 0.220 0.684 0.964
Se 0.780 0.316 0.036
Se 0.780 0.744 0.464
Se 0.792 0.735 0.057
Se 0.822 0.265 0.557

energy relative to the elements, uncorrected	-1.451	eV per atom
crystal system	orthorhombic
DOS at the Fermi energy	9.1	states/eV per cell


(2)
# YHfMg6O8

An optimized crystal structure of YHfMg6O8 (PBE, Alexandria via LeMat-Bulk).

a b c (Å): 4.433 4.433 9.000
angles (deg): 90.00 90.00 90.00
Element x y z (fractional)
Y 0.000 0.000 0.000
Hf 0.500 0.500 0.000
Mg 0.000 0.000 0.500
Mg 0.000 0.500 0.268
Mg 0.000 0.500 0.732
Mg 0.500 0.000 0.268
Mg 0.500 0.000 0.732
Mg 0.500 0.500 0.500
O 0.000 0.000 0.268
O 0.000 0.000 0.732
O 0.000 0.500 0.000
O 0.000 0.500 0.500
O 0.500 0.000 0.000
O 0.500 0.000 0.500
O 0.500 0.500 0.263
O 0.500 0.500 0.737

energy relative to the elements, uncorrected	-2.461	eV per atom
crystal system	tetragonal
DOS at the Fermi energy	4.8	states/eV per cell


(3)
# Li2CuAgF8

An optimized crystal structure of Li2CuAgF8 (PBE, Alexandria via LeMat-Bulk).

a b c (Å): 4.638 4.646 6.894
angles (deg): 83.74 83.66 85.96
Element x y z (fractional)
Li 0.002 0.002 0.241
Li 0.998 0.998 0.759
Cu 0.500 0.500 0.000
Ag 0.500 0.500 0.500
F 0.191 0.811 0.500
F 0.216 0.787 0.000
F 0.294 0.297 0.735
F 0.299 0.303 0.203
F 0.701 0.697 0.797
F 0.706 0.703 0.265
F 0.784 0.213 0.000
F 0.809 0.189 0.500

energy relative to the elements, uncorrected	-1.801	eV per atom
crystal system	triclinic


(4)
# AgMo2Pb

An optimized crystal structure of AgMo2Pb (PBE, Alexandria via LeMat-Bulk).

a b c (Å): 5.501 5.501 5.501
angles (deg): 144.32 127.38 65.21
Element x y z (fractional)
Ag 0.000 0.000 0.000
Mo 0.268 0.768 0.500
Mo 0.464 0.464 0.000
Pb 0.736 0.236 0.500

crystal system	orthorhombic
DOS at the Fermi energy	2.9	states/eV per cell
energy of formation from the pure elements	0.588	eV per atom


(5)
# ReRh

An optimized crystal structure of ReRh (PBE, Alexandria via LeMat-Bulk).

a b c (Å): 5.320 5.320 5.697
angles (deg): 106.16 106.16 50.60
Element x y z (fractional)
Re 0.125 0.125 0.438
Re 0.363 0.363 0.811
Re 0.637 0.637 0.189
Re 0.875 0.875 0.562
Rh 0.127 0.127 0.955
Rh 0.387 0.387 0.300
Rh 0.613 0.613 0.700
Rh 0.873 0.873 0.045

crystal system	monoclinic
DOS at the Fermi energy	7.3	states/eV per cell
energy of formation from the pure elements	0.190	eV per atom


(6)
# Tb3Dy2In2

An optimized crystal structure of Tb3Dy2In2 (PBE, Alexandria via LeMat-Bulk).

a b c (Å): 12.110 12.110 3.452
angles (deg): 90.00 90.00 156.61
Element x y z (fractional)
Tb 0.000 0.000 0.000
Tb 0.142 0.858 0.000
Tb 0.858 0.142 0.000
Dy 0.286 0.714 0.500
Dy 0.714 0.286 0.500
In 0.429 0.571 0.500
In 0.571 0.429 0.500

crystal system	orthorhombic
DOS at the Fermi energy	6.8	states/eV per cell
energy of formation from the pure elements	-0.159	eV per atom


The following calculated density values (in Mg/m³) correspond, in order, to the records above: 5.11 5.08 3.82 11.05 16.20 8.52.
The following calculated total energy values (in eV/atom) correspond, in order, to the records above: -5.8804 -6.5638 -3.9467 -6.4673 -9.7099 -4.2407.